No. 1
# K2Si2Ag | the Alexandria database | PBE | relaxed
# polymorph energy (0 for the lowest one) = 0 meV per atom
# calculated total energy = -3.091 eV per atom
# E_form (uncorrected) = 0.09 eV per atom
# N(E_F) = 0.28 states/eV per atom
data_K2Si2Ag
_chemical_formula_sum 'K4 Si4 Ag2'
_cell_length_a 4.471
_cell_length_b 5.194
_cell_length_c 11.282
_cell_angle_alpha 90.00
_cell_angle_beta 90.00
_cell_angle_gamma 90.00
_symmetry_space_group_name_H-M 'I m m m'
_symmetry_Int_Tables_number 71
_symmetry_space_group_name_Hall '-I 2 2'
loop_
_atom_site_label
_atom_site_type_symbol
_atom_site_fract_x
_atom_site_fract_y
_atom_site_fract_z
K1 K 0.000 0.000 0.203
Si1 Si 0.000 0.264 0.500
Ag1 Ag 0.000 0.500 0.000

---

No. 2
# Be2Cd | the Alexandria database | PBE | relaxed
# polymorph energy (0 for the lowest one) = 590 meV per atom
# calculated total energy = -1.970 eV per atom
# E_form = 0.82 eV per atom
# N(E_F) = 0.17 states/eV per atom
data_Be2Cd
_chemical_formula_sum 'Be2 Cd1'
_cell_length_a 4.244
_cell_length_b 4.244
_cell_length_c 2.674
_cell_angle_alpha 90.00
_cell_angle_beta 90.00
_cell_angle_gamma 90.00
_symmetry_space_group_name_H-M 'P 4/m m m'
_symmetry_Int_Tables_number 123
_symmetry_space_group_name_Hall '-P 4 2'
loop_
_atom_site_label
_atom_site_type_symbol
_atom_site_fract_x
_atom_site_fract_y
_atom_site_fract_z
Be1 Be 0.000 0.500 0.000
Cd1 Cd 0.000 0.000 0.500

---

No. 3
# LiSb2As | the Alexandria database | PBE | relaxed
# calculated total energy = -3.668 eV per atom
# E_form (uncorrected) = 0.03 eV per atom
# N(E_F) = 0.55 states/eV per atom
data_LiSb2As
_chemical_formula_sum 'Li2 Sb4 As2'
_cell_length_a 4.407
_cell_length_b 4.407
_cell_length_c 9.604
_cell_angle_alpha 90.00
_cell_angle_beta 90.00
_cell_angle_gamma 90.00
_symmetry_space_group_name_H-M 'I 4/m m m'
_symmetry_Int_Tables_number 139
_symmetry_space_group_name_Hall '-I 4 2'
loop_
_atom_site_label
_atom_site_type_symbol
_atom_site_fract_x
_atom_site_fract_y
_atom_site_fract_z
Li1 Li 0.000 0.000 0.000
Sb1 Sb 0.000 0.500 0.250
As1 As 0.000 0.000 0.500